Entry 1:
A relaxed structure of Tl3Au, computed with PBE-GGA.

Output
- Energy above the lowest structure with this stoichiometry: 0 meV/atom
- Total DFT energy (no corrections): -2.625 eV/atom
- Spin magnetization: 0.00 μB/cell
- Energy relative to the elements: -0.0311 eV/atom

a b c (Å): 6.1095 9.0681 9.0681
angles (deg): 83.48 70.31 70.31
Closest atoms and distances in Å follow each position.
Fractional positions:
1 Tl 0.8555 0.6438 0.6447  4 Au 3.06-3.15
2 Au 0.7083 0.2921 0.2910  8 Tl 3.04-3.15
3 Tl 0.3631 0.9995 0.8085  2 Au 3.10, 2 Tl 3.27-3.38
4 Au 0.0007 0.2910 0.7079  8 Tl 3.04-3.15
5 Au 0.2914 0.7079 0.7090  8 Tl 3.04-3.15
6 Tl 0.5626 0.0008 0.4127  2 Au 3.04, 3 Tl 3.38-3.40
7 Tl 0.0247 0.4127 0.9992  2 Au 3.04, 3 Tl 3.38-3.40
8 Tl 0.8284 0.8085 0.0005  2 Au 3.10, 2 Tl 3.27-3.38
9 Tl 0.5007 0.3553 0.6438  4 Au 3.06-3.15
10 Tl 0.4366 0.5873 0.0008  2 Au 3.04, 3 Tl 3.38-3.40
11 Tl 0.1440 0.3562 0.3553  4 Au 3.06-3.15
12 Tl 0.9761 0.9992 0.5873  2 Au 3.04, 3 Tl 3.38-3.40
13 Tl 0.4998 0.6447 0.3562  4 Au 3.06-3.15
14 Tl 0.6373 0.1915 0.9995  2 Au 3.10, 2 Tl 3.27-3.38
15 Tl 0.1711 0.0005 0.1915  2 Au 3.10, 2 Tl 3.27-3.38
16 Au 0.9996 0.7090 0.2921  8 Tl 3.04-3.15

***

Entry 2:
A relaxed structure of Tl3Au, computed with PBE-GGA.

Output
- Energy above the lowest structure with this stoichiometry: 93 meV/atom
- Total DFT energy (no corrections): -2.532 eV/atom
- Spin magnetization: 0.00 μB/cell
- Energy relative to the elements: 0.0621 eV/atom

a b c (Å): 3.7240 5.1077 5.8464
angles (deg): 90.00 90.00 90.00
Closest atoms and distances in Å follow each position.
Fractional positions:
1 Tl 0.0000 0.5000 0.3177  2 Au 3.13, 6 Tl 3.30-3.31
2 Tl 0.5000 0.0000 0.4887  6 Tl 3.31-3.32, 4 Au 3.37-3.57
3 Tl 0.5000 0.5000 0.8515  4 Au 3.29, 6 Tl 3.30-3.63
4 Au 0.0000 0.0000 0.0089  8 Tl 3.13-3.37

***

Entry 3:
A relaxed structure of Tl2Au, computed with PBE-GGA.

Output
- Total DFT energy (no corrections): -2.644 eV/atom
- Spin magnetization: 0.00 μB/cell
- Energy relative to the elements: 0.0263 eV/atom

a b c (Å): 9.6524 9.6524 9.6524
angles (deg): 60.00 60.00 60.00
Closest atoms and distances in Å follow each position.
Fractional positions:
1 Tl 0.4366 0.3134 0.9366  4 Au 3.15-3.49, 2 Tl 3.51
2 Au 0.7872 0.2872 0.6384  6 Tl 2.99-3.15
3 Au 0.2128 0.7128 0.3616  6 Tl 2.99-3.15
4 Tl 0.8134 0.3134 0.9366  4 Au 3.15-3.49, 2 Tl 3.51
5 Au 0.2128 0.3616 0.7128  6 Tl 2.99-3.15
6 Au 0.2128 0.7128 0.7128  6 Tl 2.99-3.15
7 Tl 0.0000 0.5000 0.5000  6 Au 2.99
8 Au 0.7872 0.6384 0.2872  6 Tl 2.99-3.15
9 Tl 0.5634 0.0634 0.6866  4 Au 3.15-3.49, 2 Tl 3.51
10 Tl 0.5634 0.6866 0.6866  4 Au 3.15-3.49, 2 Tl 3.51
11 Tl 0.1866 0.6866 0.0634  4 Au 3.15-3.49, 2 Tl 3.51
12 Au 0.8616 0.7128 0.7128  6 Tl 2.99-3.15
13 Au 0.7872 0.2872 0.2872  6 Tl 2.99-3.15
14 Tl 0.8134 0.9366 0.9366  4 Au 3.15-3.49, 2 Tl 3.51
15 Tl 0.8134 0.9366 0.3134  4 Au 3.15-3.49, 2 Tl 3.51
16 Tl 0.5634 0.6866 0.0634  4 Au 3.15-3.49, 2 Tl 3.51
17 Tl 0.4366 0.9366 0.3134  4 Au 3.15-3.49, 2 Tl 3.51
18 Tl 0.0000 0.5000 0.0000  6 Au 2.99
19 Tl 0.5000 0.5000 0.5000  6 Au 2.99
20 Tl 0.1866 0.0634 0.6866  4 Au 3.15-3.49, 2 Tl 3.51
21 Au 0.1384 0.2872 0.2872  6 Tl 2.99-3.15
22 Tl 0.0000 0.0000 0.5000  6 Au 2.99
23 Tl 0.1866 0.0634 0.0634  4 Au 3.15-3.49, 2 Tl 3.51
24 Tl 0.4366 0.3134 0.3134  4 Au 3.15-3.49, 2 Tl 3.51

***

Q: Among the records above, which one has the lowest energy relative to the elements?
A: number 1

***

Q: Number 1 is which compound?
A: Tl3Au

***

Q: Look up the energy relative to the elements of the third one.
A: 0.0263 eV/atom

***

Q: Which of these has the highest total DFT energy (no corrections)?
A: number 2